LiBP2Cl, optimized geometry, DFT GGA-PBE; E = -14.36 eV per formula unit; E above lowest polymorph = 1267.2 meV/atom; crystal system = tetragonal; ΔE_f (raw) = 1.380 eV per atom
1.0
4.354 0.000 0.000
0.000 4.354 0.000
0.000 0.000 4.718
Li B P Cl
1 1 2 1
Cartesian
0.000 0.000 0.000
2.177 2.177 2.359
0.000 2.177 0.000
2.177 0.000 0.000
0.000 0.000 2.359